Here is crystalline BeCrIO2 at its relaxed geometry from the Alexandria database. Energies are from PBE with a Hubbard U.

```
BeCrIO2
1.0
3.688 0.000 0.000
0.000 3.688 0.000
0.000 0.000 5.745
I Cr O Be
1 1 2 1
direct
0.000 0.000 0.500 I
0.500 0.500 0.500 Cr
0.000 0.500 0.000 O
0.500 0.000 0.000 O
0.000 0.000 0.000 Be
```

Energy above the lowest structure with this stoichiometry, eV per atom: 0.129
ρ, Mg/m³: 4.7
SG: No. 123
Energy, eV/atom: -4.78
Total moment, μB per formula unit: 4.36